Below is a geometry-optimized V2ReRu structure, with properties calculated at the PBE-GGA level.

## Properties
Crystal system: cubic
V in Å³/cell: 55.4
DOS at the Fermi energy in states/eV/atom: 1.04
Distance to the lowest polymorph of the same formula in kcal/mol of atoms: 0.50

a = 4.2802 Å, b = 4.2802 Å, c = 4.2802 Å
α = 60.00°, β = 60.00°, γ = 60.00°
Element x y z (fractional)
V: 0.7500 0.7500 0.7500
Re: 0.5000 0.5000 0.5000
Ru: 0.0000 0.0000 0.0000
V: 0.2500 0.2500 0.2500